1.
Compound: In2SnTeO8
Source: the Alexandria database
Functional: PBE
Structure: optimized geometry

Lattice parameters (Å, degrees): 6.7344 7.0742 6.5093 90.00 90.00 90.00
Space group Cmmm (No. 65)
Inequivalent atoms, fractional coordinates:
1 In 0.0000 0.0000 0.2502 [4 per cell]
2 Sn 0.0000 0.5000 0.0000 [2 per cell]
3 Te 0.0000 0.5000 0.5000 [2 per cell]
4 O 0.0000 0.3178 0.2694 [8 per cell]
5 O 0.2019 0.0000 0.0000 [4 per cell]
6 O 0.2109 0.0000 0.5000 [4 per cell]

Properties
Calculated total energy = -5.74 eV per atom

2.
Compound: UInSnO6
Source: the Alexandria database
Functional: PBE
Structure: optimized geometry

Lattice parameters (Å, degrees): 5.5009 5.5009 9.2662 90.00 90.00 120.00
Space group P-31c (No. 163)
Inequivalent atoms, fractional coordinates:
1 U 0.3333 0.6667 0.2500 [2 per cell]
2 In 0.3333 0.6667 0.7500 [2 per cell]
3 Sn 0.0000 0.0000 0.0000 [2 per cell]
4 O 0.0075 0.3273 0.1259 [12 per cell]

Properties
Calculated total energy = -7.41 eV per atom

3.
Compound: ZnIn2SnO6
Source: the Alexandria database
Functional: PBE
Structure: optimized geometry

Lattice parameters (Å, degrees): 5.4751 5.4751 14.5480 90.00 90.00 120.00
Space group R3 (No. 146, hexagonal axes)
Inequivalent atoms, fractional coordinates:
1 Zn 0.0000 0.0000 0.0000 [3 per cell]
2 In 0.0000 0.0000 0.2752 [3 per cell]
3 In 0.0000 0.0000 0.7792 [3 per cell]
4 Sn 0.0000 0.0000 0.4867 [3 per cell]
5 O 0.0391 0.3534 0.5516 [9 per cell]
6 O 0.0446 0.6771 0.0538 [9 per cell]

Properties
Calculated total energy = -5.58 eV per atom

4.
Compound: ZrInSnO2
Source: the Alexandria database
Functional: PBE
Structure: optimized geometry

Lattice parameters (Å, degrees): 4.1635 4.1635 6.0201 90.00 90.00 90.00
Space group P4/mmm (No. 123)
Inequivalent atoms, fractional coordinates:
1 Zr 0.0000 0.0000 0.0000 [1 per cell]
2 In 0.0000 0.0000 0.5000 [1 per cell]
3 Sn 0.5000 0.5000 0.0000 [1 per cell]
4 O 0.0000 0.5000 0.5000 [2 per cell]

Properties
Calculated total energy = -5.07 eV per atom

5.
Compound: Sr12In3O5
Source: the Alexandria database
Functional: PBE
Structure: optimized geometry

Lattice parameters (Å, degrees): 17.0810 17.0810 17.0810 90.00 90.00 90.00
Space group Ia-3d (No. 230)
Inequivalent atoms, fractional coordinates:
1 Sr 0.0363 0.0471 0.6497 [96 per cell]
2 In 0.0000 0.2500 0.1250 [24 per cell]
3 O 0.0000 0.0000 0.0000 [16 per cell]
4 O 0.0000 0.2500 0.3750 [24 per cell]

Properties
Calculated total energy = -4.04 eV per atom

6.
Compound: SrInO2
Source: the Alexandria database
Functional: PBE
Structure: optimized geometry

Lattice parameters (Å, degrees): 3.4624 3.4624 20.4706 90.00 90.00 120.00
Space group R-3m (No. 166, hexagonal axes)
Inequivalent atoms, fractional coordinates:
1 Sr 0.0000 0.0000 0.0000 [3 per cell]
2 In 0.0000 0.0000 0.5000 [3 per cell]
3 O 0.0000 0.0000 0.1152 [6 per cell]

Properties
Calculated total energy = -4.98 eV per atom

7.
Compound: SrInO2
Source: the Alexandria database
Functional: PBE
Structure: optimized geometry

Lattice parameters (Å, degrees): 3.7349 3.7349 19.7912 90.00 90.00 120.00
Space group R-3m (No. 166, hexagonal axes)
Inequivalent atoms, fractional coordinates:
1 Sr 0.0000 0.0000 0.0000 [3 per cell]
2 In 0.0000 0.0000 0.5000 [3 per cell]
3 O 0.0000 0.0000 0.3979 [6 per cell]

Properties
Calculated total energy = -5.32 eV per atom

8.
Compound: SrIn2O4
Source: the Alexandria database
Functional: PBE
Structure: optimized geometry

Lattice parameters (Å, degrees): 6.7833 6.7833 9.5673 90.00 90.00 90.00
Space group I4_1/amd (No. 141, origin choice 2)
Inequivalent atoms, fractional coordinates:
1 Sr 0.0000 0.2500 0.3750 [4 per cell]
2 In 0.0000 0.0000 0.0000 [8 per cell]
3 O 0.0000 0.0354 0.7672 [16 per cell]

Properties
Calculated total energy = -5.79 eV per atom

9.
Compound: Sr5InO6
Source: the Alexandria database
Functional: PBE
Structure: optimized geometry

Lattice parameters (Å, degrees): 6.3432 10.9891 6.3364 90.00 109.41 90.00
Space group C2/m (No. 12)
Inequivalent atoms, fractional coordinates:
1 Sr 0.0000 0.0000 0.0000 [2 per cell]
2 Sr 0.0000 0.1673 0.5000 [4 per cell]
3 Sr 0.0000 0.3363 0.0000 [4 per cell]
4 In 0.0000 0.5000 0.5000 [2 per cell]
5 O 0.2488 0.0000 0.7513 [4 per cell]
6 O 0.2486 0.1674 0.2477 [8 per cell]

Properties
Calculated total energy = -5.81 eV per atom

10.
Compound: Sr12In5O3
Source: the Alexandria database
Functional: PBE
Structure: optimized geometry

Lattice parameters (Å, degrees): 18.6435 18.6435 18.6435 90.00 90.00 90.00
Space group Ia-3d (No. 230)
Inequivalent atoms, fractional coordinates:
1 Sr 0.0163 0.1149 0.6351 [96 per cell]
2 In 0.0000 0.0000 0.0000 [16 per cell]
3 In 0.0000 0.2500 0.3750 [24 per cell]
4 O 0.0000 0.2500 0.1250 [24 per cell]

Properties
Calculated total energy = -2.78 eV per atom

11.
Compound: SrIn2O4
Source: the Alexandria database
Functional: PBE
Structure: optimized geometry

Lattice parameters (Å, degrees): 9.9742 3.3211 11.6644 90.00 90.00 90.00
Space group Pnma (No. 62)
Inequivalent atoms, fractional coordinates:
1 Sr 0.2440 0.2500 0.1524 [4 per cell]
2 In 0.0693 0.2500 0.3886 [4 per cell]
3 In 0.0813 0.2500 0.8940 [4 per cell]
4 O 0.0235 0.7500 0.7828 [4 per cell]
5 O 0.0814 0.2500 0.5745 [4 per cell]
6 O 0.1211 0.7500 0.0219 [4 per cell]
7 O 0.2065 0.7500 0.3324 [4 per cell]

Properties
Calculated total energy = -5.82 eV per atom

12.
Compound: Sr2In2O5
Source: the Alexandria database
Functional: PBE
Structure: optimized geometry

Lattice parameters (Å, degrees): 11.7904 4.1553 6.7919 90.00 123.80 90.00
Space group C2/m (No. 12)
Inequivalent atoms, fractional coordinates:
1 Sr 0.1246 0.0000 0.2736 [4 per cell]
2 In 0.1116 0.5000 0.8063 [4 per cell]
3 O 0.0000 0.5000 0.0000 [2 per cell]
4 O 0.1227 0.5000 0.4997 [4 per cell]
5 O 0.1502 0.0000 0.9190 [4 per cell]

Properties
Calculated total energy = -5.80 eV per atom